First-principles (PBE) data for an optimized crystal structure of RbSeI2Cl, as listed in Alexandria via LeMat-Bulk.

Formation energy (no corrections) (eV per atom): -0.63
Electronic total energy (eV per cell): -12.56

abc: 5.977 5.977 5.218
angles: 90.00 90.00 90.00
Fractional coordinates of all 5 atoms:
I (0.000, 0.500, 0.000)
I (0.500, 0.000, 0.000)
Se (0.000, 0.000, 0.000)
Rb (0.500, 0.500, 0.500)
Cl (0.000, 0.000, 0.500)